Entry 1:
! CaNdDy (PBE, relaxed); values from VASP
! - Calculated formation energy: 0.052 eV per atom
! - Energy above the lowest structure with this stoichiometry: 0.019 eV per atom
! - Volume: 106.8 Å³/cell
! - N(E_F): 1.29 states/eV per atom
&SYSTEM
  ibrav = 0, nat = 3, ntyp = 3
/
ATOMIC_SPECIES
Dy 162.50 Dy.upf
Ca 40.08 Ca.upf
Nd 144.24 Nd.upf
CELL_PARAMETERS angstrom
-1.000 -1.713 -3.087
-1.592 -0.883 3.186
-6.428 6.363 -1.449
ATOMIC_POSITIONS crystal
Dy 0.667 0.333 0.345
Ca 0.000 0.000 0.004
Nd 0.333 0.667 0.651


Entry 2:
! AcBiPdRh (PBE, relaxed); values from VASP
! - Calculated formation energy: -0.473 eV per atom
! - Energy above the lowest structure with this stoichiometry: 0.041 eV per atom
! - Volume: 94.0 Å³/cell
! - N(E_F): 1.02 states/eV per atom
&SYSTEM
  ibrav = 0, nat = 4, ntyp = 4
/
ATOMIC_SPECIES
Rh 102.91 Rh.upf
Ac 227.00 Ac.upf
Bi 208.98 Bi.upf
Pd 106.42 Pd.upf
CELL_PARAMETERS angstrom
5.104 0.000 0.000
2.552 4.420 0.000
2.552 1.473 4.168
ATOMIC_POSITIONS crystal
Rh 0.500 0.500 0.500
Ac 0.250 0.250 0.250
Bi 0.750 0.750 0.750
Pd 0.000 0.000 0.000


Entry 3:
! Y2GaNi16 (PBE, relaxed); values from VASP
! - Calculated formation energy: -0.243 eV per atom
! - Volume: 242.1 Å³/cell
! - N(E_F): 1.31 states/eV per atom
&SYSTEM
  ibrav = 0, nat = 19, ntyp = 3
/
ATOMIC_SPECIES
Ni 58.69 Ni.upf
Y 88.91 Y.upf
Ga 69.72 Ga.upf
CELL_PARAMETERS angstrom
6.234 0.036 0.743
0.664 6.199 0.743
0.040 0.036 6.278
ATOMIC_POSITIONS crystal
Ni 0.703 0.297 0.000
Ni 0.297 0.000 0.703
Ni 0.000 0.297 0.703
Ni 0.501 0.999 0.999
Ni 0.101 0.101 0.101
Ni 0.154 0.655 0.655
Ni 0.297 0.703 0.000
Ni 0.999 0.501 0.999
Ni 0.846 0.344 0.344
Ni 0.344 0.344 0.846
Ni 0.999 0.999 0.501
Ni 0.000 0.703 0.297
Ni 0.703 0.000 0.297
Ni 0.344 0.846 0.344
Ni 0.655 0.655 0.154
Ni 0.655 0.154 0.655
Y 0.341 0.341 0.341
Y 0.654 0.654 0.654
Ga 0.907 0.907 0.907